Cs2SbBr5Cl, optimized geometry, DFT PBE-GGA; Fermi-level density of states = 0.47 states/eV/atom; total magnetic moment = 0.0000 μB/atom; formation energy from raw total energies = -10.60 eV/f.u.
1.0
7.9108 -0.1469 -0.2131
-3.8854 6.8924 0.2131
-3.8854 -2.2552 6.5165
Cs Br Cl Sb
2 5 1 1
direct
0.5000 0.7485 0.2485
0.5000 0.2485 0.7485
0.4891 0.2421 0.2421
0.0000 0.7531 0.2421
0.0000 0.2421 0.7531
0.0000 0.2413 0.2413
0.5109 0.7531 0.7531
0.0000 0.7729 0.7729
0.0000 0.9984 0.9984

Pm4CdOs, optimized geometry, DFT PBE-GGA; energy above the lowest structure with this stoichiometry = 0.0 meV per atom; calculated formation energy = -0.22 eV per atom; Fermi-level density of states = 1.11 states/eV/atom; total magnetic moment = 0.0000 μB/atom
1.0
-4.8130 6.7070 -5.4186
-9.7375 1.1919 1.1268
-3.5120 8.1885 4.2573
Pm Os Cd
16 4 4
direct
0.9412 0.9412 0.5588
0.4042 0.4042 0.7874
0.4042 0.4042 0.4042
0.8091 0.1909 0.1909
0.8091 0.8091 0.1909
0.5588 0.5588 0.9412
0.1909 0.8091 0.1909
0.1909 0.1909 0.8091
0.4042 0.7874 0.4042
0.9412 0.5588 0.9412
0.9412 0.5588 0.5588
0.5588 0.9412 0.5588
0.8091 0.1909 0.8091
0.7874 0.4042 0.4042
0.1909 0.8091 0.8091
0.5588 0.9412 0.9412
0.6120 0.6120 0.1640
0.1640 0.6120 0.6120
0.6120 0.6120 0.6120
0.6120 0.1640 0.6120
0.1706 0.4883 0.1706
0.1706 0.1706 0.4883
0.1706 0.1706 0.1706
0.4883 0.1706 0.1706

Q: Look up the total magnetic moment of the first one.
A: 0.0000 μB/atom

Q: total magnetic moment of number 2 (Pm4CdOs)?
A: 0.0000 μB/atom

Q: Number 1 is which compound?
A: Cs2SbBr5Cl